Record 1
Entry from Alexandria via LeMat-Bulk: an optimized crystal structure of Mg2ReSe (PBE-GGA).

* formation energy without anion corrections: 366 meV per atom
* energy: -4.414 eV per atom
* space group: I-4m2
* mass density: 7.5 g cm⁻³

Unit cell a=5.2100 b=5.2100 c=5.2100 alpha=135.00 beta=135.00 gamma=65.53
Closest atoms and distances in Å follow each position.
Positions (direct):
1 Mg 0.2500 0.7500 0.5000  4 Se 2.82, 4 Re 2.96, 4 Mg 2.96
2 Se 0.7500 0.2500 0.5000  8 Mg 2.82-2.96, 4 Re 2.96
3 Mg 0.0000 0.0000 0.0000  4 Re 2.82, 4 Se 2.96, 4 Mg 2.96
4 Re 0.5000 0.5000 0.0000  8 Mg 2.82-2.96, 4 Se 2.96

Record 2
Entry from Alexandria via LeMat-Bulk: an optimized crystal structure of Mg2ReSe (PBE-GGA).

* formation energy without anion corrections: 98 meV per atom
* energy: -4.682 eV per atom
* space group: P4mm
* mass density: 6.8 g cm⁻³

Unit cell a=3.1247 b=3.1247 c=7.8742 alpha=90.00 beta=90.00 gamma=90.00
Closest atoms and distances in Å follow each position.
Positions (direct):
1 Mg 0.0000 0.0000 0.9871  8 Mg 3.12-3.25, 4 Se 3.21
2 Re 0.0000 0.0000 0.5310  4 Se 2.55
3 Mg 0.5000 0.5000 0.2902  4 Re 2.91, 8 Mg 3.12-3.25, 1 Se 3.16
4 Se 0.5000 0.5000 0.6916  4 Re 2.55